(1)
A geometry-optimized Tb3Y3Th4 structure. Source: the Alexandria database, functional GGA-PBE.

Results
- Energy of formation from the pure elements: 0.236 eV/atom
- Space-group type: Amm2 (38)
- ρ: 8.314 g/cm³

Structure (extended XYZ):
```
10
Lattice="3.9396 0.0000 0.0000 0.0000 6.5199 6.4989 0.0000 -6.5199 6.4989" Properties=species:S:1:pos:R:3 pbc="T T T"
Tb 0.0000 0.0000 0.0000
Tb 1.9698 -3.2477 5.3680
Tb 1.9698 3.2477 5.3680
Y 0.0000 0.0000 4.2464
Y 0.0000 -2.1389 8.6346
Y 0.0000 2.1389 8.6346
Th 1.9698 -1.7212 2.0962
Th 1.9698 1.7212 2.0962
Th 1.9698 0.0000 6.9116
Th 1.9698 0.0000 10.3716
```

=====

(2)
A geometry-optimized NaTm2Se3 structure. Source: the Alexandria database, functional GGA-PBE.

Results
- Raw formation energy: -966 kJ/mol of formula units
- Space-group type: Immm (71)
- ρ: 6.950 g/cm³

Structure (extended XYZ):
```
6
Lattice="-2.0211 2.8683 6.1588 2.0211 -2.8683 6.1588 2.0211 2.8683 -6.1588" Properties=species:S:1:pos:R:3 pbc="T T T"
Na 0.0000 0.0000 0.0000
Tm 0.0000 0.0000 4.1515
Tm 0.0000 0.0000 8.1662
Se 2.0211 0.0000 2.1356
Se 0.0000 2.8683 0.0000
Se 0.0000 2.8683 4.0232
```

=====

(3)
A geometry-optimized LuThPt2 structure. Source: the Alexandria database, functional GGA-PBE.

Results
- Energy of formation from the pure elements: -1.240 eV/atom
- Space-group type: R-3m (166)
- ρ: 13.618 g/cm³

Structure (extended XYZ):
```
4
Lattice="2.0603 1.1895 6.6107 -2.0603 1.1895 6.6107 0.0000 -2.3790 6.6107" Properties=species:S:1:pos:R:3 pbc="T T T"
Lu 0.0000 0.0000 0.0000
Th 0.0000 0.0000 9.9160
Pt 0.0000 0.0000 5.0291
Pt 0.0000 0.0000 14.8029
```

=====

(4)
A geometry-optimized SmCdPtO4 structure. Source: the Alexandria database, functional GGA-PBE.

Results
- Raw formation energy: -1034 kJ/mol of formula units
- Space-group type: Imma (74)
- ρ: 8.359 g/cm³

Structure (extended XYZ):
```
14
Lattice="-3.5306 3.5788 4.1026 3.5306 -3.5788 4.1026 3.5306 3.5788 -4.1026" Properties=species:S:1:pos:R:3 pbc="T T T"
Sm -1.7653 1.7894 2.0513
Sm 1.7653 1.7894 2.0513
Cd 3.5306 1.7894 -1.3000
Cd 0.0000 1.7894 5.4026
Pt 0.0000 0.0000 0.0000
Pt 0.0000 3.5788 0.0000
O 1.3186 1.7894 -0.2722
O 2.2120 -1.7894 3.8304
O 3.5306 0.2702 2.0456
O 0.0000 0.2702 2.0570
O 3.5306 3.3086 2.0456
O 0.0000 3.3086 2.0570
O 1.3186 5.3681 0.2722
O 2.2120 1.7894 4.3747
```

=====

(5)
A geometry-optimized Ba2MgRuSe structure. Source: the Alexandria database, functional GGA-PBE.

Results
- Raw formation energy: 273 kJ/mol of formula units
- Space-group type: P4/mmm (123)
- ρ: 3.980 g/cm³

Structure (extended XYZ):
```
5
Lattice="6.4368 0.0000 0.0000 0.0000 6.4368 0.0000 0.0000 0.0000 4.8238" Properties=species:S:1:pos:R:3 pbc="T T T"
Ba 0.0000 3.2184 0.0000
Ba 3.2184 0.0000 0.0000
Mg 0.0000 0.0000 0.0000
Ru 3.2184 3.2184 2.4119
Se 0.0000 0.0000 2.4119
```

=====

(6)
A geometry-optimized DyY3Sc2Bi6 structure. Source: the Alexandria database, functional GGA-PBE.

Results
- Energy of formation from the pure elements: -0.804 eV/atom
- Space-group type: C2/m (12)
- ρ: 8.081 g/cm³

Structure (extended XYZ):
```
12
Lattice="3.8211 -6.6213 0.0000 3.8211 6.6213 0.0000 -2.5521 0.0000 7.2002" Properties=species:S:1:pos:R:3 pbc="T T T"
Dy 0.0000 0.0000 0.0000
Y 2.5450 4.4648 3.6001
Y 2.5450 0.0000 3.6001
Y 2.5450 -4.4648 3.6001
Sc 3.8211 2.2257 0.0000
Sc 3.8211 -2.2257 0.0000
Bi 1.3054 2.2603 1.7365
Bi 0.0634 0.0000 5.4949
Bi 1.3054 -2.2603 1.7365
Bi 3.7846 2.2603 5.4637
Bi 5.0267 0.0000 1.7053
Bi 3.7846 -2.2603 5.4637
```

=====

Number 1: final energy -6.060 eV/atom. Number 2: final energy -5.121 eV/atom. Number 3: final energy -7.245 eV/atom. Number 4: final energy -6.033 eV/atom. Number 5: final energy -3.074 eV/atom. Number 6: final energy -5.799 eV/atom.